Record 1
A plane-wave DFT calculation with PBE-GGA was carried out for crystalline HoAs2Pd5 at its relaxed geometry.

**Space group**: Immm (71)
**Magnetization**: 0.000 Bohr magnetons per cell
**Total DFT energy (no corrections)**: -0.2052 hartree per atom
**D(E_F)**: 4.19 states/eV/cell
**Energy relative to the elements**: -0.60 eV per atom

Lattice parameters (Å, degrees): 4.057 6.333 6.333 70.33 71.32 71.32
Atoms (fractional coordinates):
Pd 0.352 0.452 0.843
Pd 0.352 0.843 0.452
As 0.743 0.757 0.757
Ho 0.000 0.000 0.000
As 0.257 0.243 0.243
Pd 0.648 0.548 0.157
Pd 0.648 0.157 0.548
Pd 0.000 0.500 0.500

=====

Record 2
A plane-wave DFT calculation with PBE-GGA was carried out for crystalline Ta4Te5 at its relaxed geometry.

**E above lowest polymorph**: 0.028 eV per atom
**Space group**: I4/mmm (139)
**Magnetization**: 0.000 Bohr magnetons per cell
**Total DFT energy (no corrections)**: -0.2404 hartree per atom
**D(E_F)**: 8.11 states/eV/cell
**Formation energy from raw total energies**: 0.4707 eV per atom

Lattice parameters (Å, degrees): 7.926 7.926 7.926 93.00 93.00 153.57
Atoms (fractional coordinates):
Te 0.669 0.331 0.000
Te 0.669 0.669 0.338
Te 0.331 0.331 0.662
Ta 0.000 0.364 0.364
Te 0.331 0.669 0.000
Te 0.000 0.000 0.000
Ta 0.364 0.000 0.364
Ta 0.000 0.636 0.636
Ta 0.636 0.000 0.636

=====

Record 3
A plane-wave DFT calculation with PBE-GGA was carried out for crystalline BeSiRh2 at its relaxed geometry.

**E above lowest polymorph**: 0.099 eV per atom
**Space group**: Pm (6)
**Magnetization**: 0.000 Bohr magnetons per cell
**Total DFT energy (no corrections)**: -0.2456 hartree per atom
**D(E_F)**: 1.16 states/eV/cell
**Formation energy from raw total energies**: -0.7214 eV per atom

Lattice parameters (Å, degrees): 3.757 3.082 4.483 70.84 90.00 90.00
Atoms (fractional coordinates):
Rh 0.500 0.255 0.351
Be 0.500 0.540 0.801
Rh 0.000 0.998 0.893
Si 0.000 0.707 0.456

=====

Record 4
A plane-wave DFT calculation with PBE-GGA was carried out for crystalline ErSc3Al2 at its relaxed geometry.

**E above lowest polymorph**: 0.184 eV per atom
**Space group**: Cmcm (63)
**Magnetization**: 1.823 Bohr magnetons per cell
**Total DFT energy (no corrections)**: -0.1917 hartree per atom
**D(E_F)**: 16.86 states/eV/cell
**Energy relative to the elements**: -0.04 eV per atom

Lattice parameters (Å, degrees): 4.943 7.839 7.839 110.93 90.00 90.00
Last column: magnetic moment on the atom in μB.
Atoms (fractional coordinates):
Sc 0.993 0.092 0.092  0.18
Al 0.493 0.494 0.718  0.00
Sc 0.993 0.374 0.890  0.19
Al 0.993 0.506 0.282  0.00
Sc 0.493 0.110 0.626  0.19
Er 0.493 0.292 0.292  0.05
Sc 0.493 0.908 0.908  0.18
Al 0.993 0.282 0.506  0.00
Al 0.493 0.718 0.494  0.00
Er 0.993 0.708 0.708  0.05
Sc 0.993 0.890 0.374  0.19
Sc 0.493 0.626 0.110  0.19

=====

Question: Number 2 is which compound?
Answer: Ta4Te5